[1]
Entry from Alexandria via LeMat-Bulk: crystalline ScSiPdPt2 at its relaxed geometry (PBE).

Calculated values
**Calculated total energy**: -4.9647 eV per atom

Cell lengths 4.7412, 4.7412, 4.8956 Å; angles 90.00, 90.00, 90.00 degrees
Closest atoms and distances in Å follow each position.
Space group P4/mmm (No. 123)
Asymmetric unit:
Sc: 0.0000 0.0000 0.0000  4 Pt 2.37, 2 Si 2.45
Si: 0.0000 0.0000 0.5000  2 Sc 2.45
Pd: 0.5000 0.5000 0.5000  4 Si 3.35, 8 Pt 3.41
Pt: 0.0000 0.5000 0.0000  2 Sc 2.37

[2]
Entry from Alexandria via LeMat-Bulk: crystalline ThScPdPt at its relaxed geometry (PBE).

Calculated values
**Formation energy**: -1.0011 eV per atom
**Calculated total energy**: -7.2474 eV per atom

Cell lengths 8.0324, 4.6422, 5.3950 Å; angles 90.00, 119.66, 90.00 degrees
Closest atoms and distances in Å follow each position.
Space group Cm (No. 8)
Asymmetric unit:
Th: 0.0000 0.0000 0.0000  4 Pt 3.08-3.13, 4 Pd 3.08-3.13
Sc: 0.0030 0.5000 0.5095  3 Pt 2.77, 3 Pd 2.79
Pd: 0.2813 0.5000 0.3434  3 Sc 2.79, 3 Pt 3.05-3.06, 2 Th 3.08-3.12
Pt: 0.2183 0.0000 0.6564  3 Sc 2.77, 3 Pd 3.05-3.06, 1 Th 3.08